No. 1
First-principles (meta-GGA SCAN) data for BaZr3N at its PBEsol-relaxed geometry, as listed in the Alexandria database.

Lattice parameters (Å, degrees): 4.651 4.651 4.651 90.00 90.00 90.00
Sites, in units of the cell vectors:
Ba (0.500, 0.500, 0.500)
Zr (0.000, 0.000, 0.500)
Zr (0.500, 0.000, 0.000)
N (0.000, 0.000, 0.000)
Zr (0.000, 0.500, 0.000)

Calculated values
Total magnetization in Bohr magnetons per cell: 0.0
Raw formation energy in eV/atom: -0.11
Symmetry: No. 221

---

No. 2
First-principles (meta-GGA SCAN) data for Ba3Na at its PBEsol-relaxed geometry, as listed in the Alexandria database.

Lattice parameters (Å, degrees): 5.882 5.882 7.622 112.70 112.70 90.00
Last column: magnetic moment on the atom in μB.
Sites, in units of the cell vectors:
Na (0.000, 0.000, 0.000)  0.00
Ba (0.250, 0.750, 0.500)  -0.03
Ba (0.750, 0.250, 0.500)  -0.03
Ba (0.500, 0.500, 0.000)  -0.07

Calculated values
Total magnetization in Bohr magnetons per cell: 0.6
DFT formation energy in eV/atom: 0.06
Symmetry: No. 139

---

No. 3
First-principles (meta-GGA SCAN) data for Ba3Na at its PBEsol-relaxed geometry, as listed in the Alexandria database.

Lattice parameters (Å, degrees): 6.042 6.042 6.042 90.00 90.00 90.00
Sites, in units of the cell vectors:
Ba (0.500, 0.500, 0.000)
Ba (0.500, 0.000, 0.500)
Ba (0.000, 0.500, 0.500)
Na (0.000, 0.000, 0.000)

Calculated values
Total magnetization in Bohr magnetons per cell: 0.3
DFT formation energy in eV/atom: 0.05
Symmetry: No. 221

---

No. 4
First-principles (meta-GGA SCAN) data for BaNa2Nb at its PBEsol-relaxed geometry, as listed in the Alexandria database.

Lattice parameters (Å, degrees): 5.707 5.707 5.707 60.00 60.00 60.00
Last column: magnetic moment on the atom in μB.
Sites, in units of the cell vectors:
Ba (0.500, 0.500, 0.500)  0.09
Nb (0.000, 0.000, 0.000)  2.75
Na (0.750, 0.750, 0.750)  0.00
Na (0.250, 0.250, 0.250)  0.00

Calculated values
Total magnetization in Bohr magnetons per cell: 4.5
DFT formation energy in eV/atom: 0.80
Symmetry: No. 225

---

No. 5
First-principles (meta-GGA SCAN) data for Ba2NaNb at its PBEsol-relaxed geometry, as listed in the Alexandria database.

Lattice parameters (Å, degrees): 6.002 6.002 6.002 60.00 60.00 60.00
Last column: magnetic moment on the atom in μB.
Sites, in units of the cell vectors:
Na (0.000, 0.000, 0.000)  -0.02
Ba (0.750, 0.750, 0.750)  0.18
Ba (0.250, 0.250, 0.250)  0.18
Nb (0.500, 0.500, 0.500)  2.78

Calculated values
Total magnetization in Bohr magnetons per cell: 5.2
DFT formation energy in eV/atom: 0.66
Symmetry: No. 225

---

No. 6
First-principles (meta-GGA SCAN) data for BaNa2Nb at its PBEsol-relaxed geometry, as listed in the Alexandria database.

Lattice parameters (Å, degrees): 6.716 7.374 7.374 78.03 62.91 62.91
Last column: magnetic moment on the atom in μB.
Sites, in units of the cell vectors:
Nb (0.500, 0.000, 0.000)  2.86
Ba (0.750, 0.500, 0.500)  0.14
Na (0.375, 0.462, 0.038)  0.00
Na (0.587, 0.038, 0.538)  0.00
Na (0.875, 0.538, 0.962)  0.00
Na (0.163, 0.962, 0.462)  0.00
Nb (0.250, 0.500, 0.500)  2.86
Ba (0.000, 0.000, 0.000)  0.14

Calculated values
Total magnetization in Bohr magnetons per cell: 9.2
DFT formation energy in eV/atom: 0.92
Symmetry: No. 122

---

No. 7
First-principles (meta-GGA SCAN) data for Ba3NaNbO6 at its PBEsol-relaxed geometry, as listed in the Alexandria database.

Lattice parameters (Å, degrees): 7.142 7.142 7.142 91.84 91.84 91.84
Sites, in units of the cell vectors:
O (0.051, 0.731, 0.922)
Nb (0.000, 0.000, 0.000)
O (0.422, 0.231, 0.551)
O (0.922, 0.051, 0.731)
Na (0.250, 0.250, 0.250)
O (0.769, 0.449, 0.578)
O (0.449, 0.578, 0.769)
Ba (0.603, 0.250, 0.897)
Ba (0.103, 0.397, 0.750)
O (0.078, 0.949, 0.269)
O (0.231, 0.551, 0.422)
O (0.731, 0.922, 0.051)
Ba (0.750, 0.103, 0.397)
Ba (0.897, 0.603, 0.250)
Ba (0.397, 0.750, 0.103)
O (0.551, 0.422, 0.231)
Ba (0.250, 0.897, 0.603)
Nb (0.500, 0.500, 0.500)
Na (0.750, 0.750, 0.750)
O (0.949, 0.269, 0.078)
O (0.578, 0.769, 0.449)
O (0.269, 0.078, 0.949)

Calculated values
Total magnetization in Bohr magnetons per cell: 0.0
Raw formation energy in eV/atom: -2.85
Symmetry: No. 167

---

No. 8
First-principles (meta-GGA SCAN) data for BaNaTiNbO6 at its PBEsol-relaxed geometry, as listed in the Alexandria database.

Lattice parameters (Å, degrees): 5.627 5.627 5.627 60.00 60.00 60.00
Sites, in units of the cell vectors:
O (0.002, 0.002, 0.498)
O (0.498, 0.002, 0.498)
Ti (0.250, 0.250, 0.250)
Ba (0.500, 0.500, 0.500)
O (0.002, 0.498, 0.002)
O (0.002, 0.498, 0.498)
O (0.498, 0.498, 0.002)
Nb (0.750, 0.750, 0.750)
O (0.498, 0.002, 0.002)
Na (0.000, 0.000, 0.000)

Calculated values
Total magnetization in Bohr magnetons per cell: 0.0
Raw formation energy in eV/atom: -2.99
Symmetry: No. 216